# 1
VASP calculation (PBEsol) on crystalline Ta2AgRu at its relaxed geometry.

Calculated values
DFT formation energy, eV/f.u.: 0.2

Unit cell a=2.8917 b=3.9828 c=5.6535 alpha=90.00 beta=96.20 gamma=90.00
Last column: nearest neighbours and their distance in Å.
Space group P2/m (No. 10)
Asymmetric unit:
Ta 0.0491 0.0000 0.2682 [2 per cell]  4 Ru 2.65-2.94, 3 Ta 2.67-2.89, 4 Ag 2.87-2.90
Ag 0.5000 0.5000 0.0000 [1 per cell]  2 Ru 2.83, 8 Ta 2.87-2.90, 2 Ag 2.89
Ru 0.5000 0.5000 0.5000 [1 per cell]  8 Ta 2.65-2.94, 2 Ag 2.83, 2 Ru 2.89

# 2
VASP calculation (PBEsol) on crystalline InTeAs2 at its relaxed geometry.

Unit cell a=5.7292 b=5.7292 c=14.6738 alpha=90.00 beta=90.00 gamma=90.00
Last column: nearest neighbours and their distance in Å.
Space group I-42d (No. 122)
Asymmetric unit:
In 0.0000 0.0000 0.0000 [4 per cell]  4 As 2.72
Te 0.0000 0.0000 0.5000 [4 per cell]  4 As 2.75
As 0.2444 0.2500 0.1250 [8 per cell]  2 In 2.72, 2 Te 2.75

# 3
VASP calculation (PBEsol) on crystalline CsCaBeBr2 at its relaxed geometry.

Unit cell a=5.2437 b=5.2437 c=5.6665 alpha=90.00 beta=90.00 gamma=90.00
Last column: nearest neighbours and their distance in Å.
Space group P4/mmm (No. 123)
Asymmetric unit:
Cs 0.0000 0.0000 0.0000 [1 per cell]  2 Be 2.83
Ca 0.5000 0.5000 0.0000 [1 per cell]  4 Cs 3.71, 8 Br 3.86
Be 0.0000 0.0000 0.5000 [1 per cell]  4 Br 2.62, 2 Cs 2.83
Br 0.0000 0.5000 0.5000 [2 per cell]  2 Be 2.62

| no. | energy (hartree per atom) |
| --- | --- |
| 1 | -0.352 |
| 2 | -0.145 |
| 3 | -0.079 |